Entry from Alexandria: a relaxed structure of Ta3Tc5N12 (PBE).

- Energy relative to the elements, uncorrected: -0.0160 eV per atom
- Size of the total moment: 7.01 μB/cell
- Space group: Ia-3d
- E: -9.38 eV/atom

Lattice parameters (Å, degrees): 10.498 10.498 10.498 109.47 109.47 109.47
Each line ends with the local moment (μB).
Fractional coordinates of all 80 atoms:
Ta 0.750 0.375 0.125  -0.02
Ta 0.875 0.750 0.125  -0.02
Ta 0.375 0.750 0.625  -0.02
Ta 0.250 0.125 0.375  -0.02
Ta 0.875 0.125 0.250  -0.02
Ta 0.375 0.625 0.250  -0.02
Ta 0.625 0.375 0.750  -0.02
Ta 0.125 0.875 0.750  -0.02
Ta 0.750 0.875 0.625  -0.02
Ta 0.625 0.250 0.375  -0.02
Ta 0.125 0.250 0.875  -0.02
Ta 0.250 0.625 0.875  -0.02
Tc 0.125 0.375 0.250  -0.12
Tc 0.000 0.500 0.000  0.94
Tc 0.000 0.000 0.000  0.94
Tc 0.375 0.250 0.125  -0.12
Tc 0.500 0.000 0.500  0.94
Tc 0.500 0.500 0.000  0.94
Tc 0.125 0.750 0.375  -0.12
Tc 0.750 0.125 0.875  -0.12
Tc 0.750 0.625 0.375  -0.12
Tc 0.375 0.125 0.750  -0.12
Tc 0.625 0.875 0.250  -0.12
Tc 0.500 0.500 0.500  0.94
Tc 0.500 0.000 0.000  0.94
Tc 0.000 0.000 0.500  0.94
Tc 0.250 0.375 0.625  -0.12
Tc 0.250 0.875 0.125  -0.12
Tc 0.000 0.500 0.500  0.94
Tc 0.875 0.250 0.625  -0.12
Tc 0.625 0.750 0.875  -0.12
Tc 0.875 0.625 0.750  -0.12
N 0.724 0.130 0.045  0.01
N 0.321 0.545 0.415  0.01
N 0.955 0.370 0.276  0.01
N 0.545 0.224 0.130  0.01
N 0.594 0.724 0.679  0.01
N 0.955 0.585 0.179  0.01
N 0.321 0.776 0.406  0.01
N 0.085 0.906 0.130  0.01
N 0.585 0.955 0.679  0.01
N 0.724 0.594 0.179  0.01
N 0.776 0.455 0.370  0.01
N 0.821 0.915 0.045  0.01
N 0.130 0.724 0.545  0.01
N 0.370 0.415 0.094  0.01
N 0.094 0.915 0.370  0.01
N 0.406 0.130 0.585  0.01
N 0.094 0.179 0.224  0.01
N 0.455 0.679 0.085  0.01
N 0.821 0.906 0.276  0.01
N 0.130 0.406 0.085  0.01
N 0.370 0.955 0.776  0.01
N 0.585 0.630 0.406  0.01
N 0.915 0.821 0.545  0.01
N 0.776 0.321 0.906  0.01
N 0.415 0.370 0.594  0.01
N 0.085 0.179 0.455  0.01
N 0.224 0.679 0.094  0.01
N 0.179 0.094 0.724  0.01
N 0.630 0.045 0.224  0.01
N 0.870 0.594 0.915  0.01
N 0.545 0.321 0.915  0.01
N 0.594 0.870 0.415  0.01
N 0.906 0.821 0.776  0.01
N 0.906 0.085 0.630  0.01
N 0.870 0.276 0.455  0.01
N 0.179 0.085 0.955  0.01
N 0.630 0.585 0.906  0.01
N 0.415 0.045 0.321  0.01
N 0.276 0.406 0.821  0.01
N 0.224 0.545 0.630  0.01
N 0.915 0.094 0.870  0.01
N 0.679 0.224 0.594  0.01
N 0.455 0.776 0.870  0.01
N 0.045 0.415 0.821  0.01
N 0.406 0.276 0.321  0.01
N 0.045 0.630 0.724  0.01
N 0.679 0.455 0.585  0.01
N 0.276 0.870 0.955  0.01